(1)
Density functional theory data (PBE) for KNaLiSb after structural relaxation.

Geometry as extended XYZ:
```
4
Lattice="5.049 0.000 0.000 2.524 4.372 0.000 2.524 1.457 6.053" Properties=species:S:1:pos:R:3 pbc="T T T"
K 7.573 4.372 3.262
Li 2.524 1.457 0.927
Na 2.524 1.457 5.883
Sb 5.049 2.915 0.959
```

**Density**: 2.37 g/cm3
**Raw formation energy**: -0.46 eV per atom
**Magnetization**: 0.00 μB per cell
**Total energy**: -2.57 eV per atom

***

(2)
Density functional theory data (PBE) for AcGdY2 after structural relaxation.

Geometry as extended XYZ:
```
4
Lattice="5.861 0.000 0.000 2.931 5.076 0.000 2.931 1.692 4.786" Properties=species:S:1:pos:R:3 pbc="T T T"
Ac 5.861 3.384 2.393
Gd 0.000 0.000 0.000
Y 8.792 5.076 3.589
Y 2.931 1.692 1.196
```

**Density**: 6.56 g/cm3
**Formation enthalpy at 0 K**: 38.4 kJ/mol of formula units
**Magnetization**: 7.74 μB per cell
**Total energy**: -7.68 eV per atom

***

(3)
Density functional theory data (PBE) for SrScSi after structural relaxation.

Geometry as extended XYZ:
```
3
Lattice="-2.282 -3.713 1.543 0.829 0.490 -4.522 4.078 -2.299 0.498" Properties=species:S:1:pos:R:3 pbc="T T T"
Sc 0.680 -0.383 0.083
Sr 2.510 -2.443 -2.168
Si -0.564 -2.696 -0.396
```

**Density**: 3.06 g/cm3
**Raw formation energy**: -0.25 eV per atom
**Magnetization**: 0.78 μB per cell
**Total energy**: -4.73 eV per atom

***

(4)
Density functional theory data (PBE) for PmGe2Ir after structural relaxation.

Geometry as extended XYZ:
```
4
Lattice="-2.354 -0.188 4.113 0.482 -3.769 2.837 2.352 0.402 4.098" Properties=species:S:1:pos:R:3 pbc="T T T"
Ge 0.120 -0.889 2.762
Ge 0.360 -2.667 8.286
Pm 0.000 0.000 0.000
Ir 0.240 -1.778 5.524
```

**Density**: 10.63 g/cm3
**Formation enthalpy at 0 K**: -121.8 kJ/mol of formula units
**Magnetization**: 0.00 μB per cell
**Total energy**: -6.03 eV per atom

***

(5)
Density functional theory data (PBE) for Ac3InGa2Pd9 after structural relaxation.

Geometry as extended XYZ:
```
15
Lattice="-0.871 2.720 -5.256 -2.897 -5.081 1.254 -8.518 5.967 4.499" Properties=species:S:1:pos:R:3 pbc="T T T"
Ga -3.587 -1.524 -0.195
Ga -8.699 5.130 0.692
Pd -0.435 1.360 -2.628
Pd -5.665 -0.571 -1.131
Pd -7.075 5.594 -1.111
Pd -6.621 4.177 1.628
Pd -3.701 0.659 0.954
Pd -1.448 -2.541 0.627
Pd -5.211 -1.988 1.608
Pd -8.584 2.946 -0.457
Pd -1.884 -1.181 -2.001
Ac 0.000 0.000 0.000
Ac -8.348 1.810 2.320
Ac -3.938 1.795 -1.823
In -4.259 2.983 2.249
```

**Density**: 8.95 g/cm3
**Formation enthalpy at 0 K**: -909.8 kJ/mol of formula units
**Magnetization**: 0.00 μB per cell
**Total energy**: -5.15 eV per atom

***

(6)
Density functional theory data (PBE) for La6P2HSe3 after structural relaxation.

Geometry as extended XYZ:
```
12
Lattice="4.259 0.000 0.000 0.000 8.509 0.250 -2.129 -2.509 8.880" Properties=species:S:1:pos:R:3 pbc="T T T"
P 0.000 1.982 2.989
P 2.129 4.018 6.141
La 2.129 4.033 3.186
La 2.129 3.887 9.024
La 0.000 1.967 5.944
La 0.000 2.114 0.106
La 2.129 -0.036 2.931
La 0.000 6.036 6.200
Se 2.129 4.255 0.125
Se 2.129 -0.258 5.941
Se 0.000 6.258 3.189
H 2.129 0.000 0.000
```

**Density**: 5.80 g/cm3
**Magnetization**: 0.01 μB per cell
**Total energy**: -6.11 eV per atom

***

(7)
Density functional theory data (PBE) for UAl4Fe after structural relaxation.

Geometry as extended XYZ:
```
12
Lattice="-0.910 -2.282 -4.151 6.034 0.707 -1.711 -0.979 -5.371 5.971" Properties=species:S:1:pos:R:3 pbc="T T T"
U 0.666 -2.592 1.280
U 3.479 -4.355 -1.171
Al -0.391 -5.032 2.853
Al 4.537 -1.914 -2.744
Al 1.143 0.134 -0.324
Al 4.892 0.573 -1.387
Al 2.880 -4.649 1.925
Al 0.644 -5.415 0.035
Al 3.501 -1.531 0.074
Al 1.265 -2.297 -1.817
Fe 1.372 -6.688 2.076
Fe 2.773 -0.258 -1.967
```

**Density**: 6.22 g/cm3
**Formation enthalpy at 0 K**: -24.3 kJ/mol of formula units
**Magnetization**: 7.73 μB per cell
**Total energy**: -5.83 eV per atom

***

(8)
Density functional theory data (PBE) for Sr2HfSn4 after structural relaxation.

Geometry as extended XYZ:
```
7
Lattice="-3.727 3.402 -2.136 -3.881 -2.297 3.113 -2.228 6.065 6.519" Properties=species:S:1:pos:R:3 pbc="T T T"
Sr -6.454 5.144 5.396
Sr -3.383 2.026 2.101
Sn -1.864 1.701 -1.068
Sn -1.940 -1.148 1.557
Sn -7.074 2.973 3.020
Sn -2.762 4.197 4.476
Hf 0.000 0.000 0.000
```

**Density**: 5.51 g/cm3
**Formation enthalpy at 0 K**: -147.5 kJ/mol of formula units
**Magnetization**: 0.00 μB per cell
**Total energy**: -4.41 eV per atom

***

Question: The lowest total energy belongs to which entry?
Answer: AcGdY2

***

Question: Which value of magnetization does entry 3 give?
Answer: 0.78 μB per cell

***

Question: magnetization of number 1 (KNaLiSb)?
Answer: 0.00 μB per cell